Record 1
This record from the Alexandria database describes crystalline Ca2PuO6 at its relaxed geometry. The functional is PBE.

extended XYZ file:
```
18
Lattice="-5.065 0.838 2.732 0.846 -4.642 2.991 4.331 4.988 6.515" Properties=species:S:1:pos:R:3 pbc="T T T"
O -2.345 -0.101 3.661
O 1.393 -1.091 6.522
O -3.432 -2.469 4.181
O 2.457 1.285 8.577
O -0.821 0.245 9.001
O -1.281 2.275 5.717
O -0.546 -2.167 4.054
O 2.265 2.461 5.240
O 0.658 3.350 8.184
O 3.544 3.653 8.058
O -2.153 -1.277 6.999
O 0.934 0.939 3.238
Ca 3.879 1.657 6.698
Ca -0.397 -2.732 6.298
Ca 0.510 3.916 5.940
Ca -3.767 -0.473 5.540
Pu 2.166 2.494 3.258
Pu -2.110 -1.902 2.862
```

SG: P2_1/c
Formation energy (no corrections): -2.543 eV/atom

***

Record 2
This record from the Alexandria database describes crystalline Ca5Pu3O12 at its relaxed geometry. The functional is PBE.

extended XYZ file:
```
80
Lattice="11.786 0.000 0.000 -3.929 11.112 0.000 -3.929 -5.556 9.623" Properties=species:S:1:pos:R:3 pbc="T T T"
O -1.061 -3.421 6.855
O 0.907 6.883 6.385
O -0.294 7.104 0.465
O -2.263 -4.005 9.153
O 6.191 9.561 0.470
O 8.760 2.135 2.768
O 4.986 6.246 5.282
O -0.294 4.379 1.109
O 6.954 -4.108 8.045
O -1.057 -0.690 4.342
O -3.631 4.005 9.153
O -4.223 -0.372 8.050
O 1.670 1.548 9.159
O -1.061 4.108 8.045
O -2.872 6.193 7.580
O 1.666 7.151 3.703
O 2.872 1.327 3.238
O 3.021 -1.327 3.238
O -3.026 9.664 1.578
O -1.670 0.372 8.050
O -0.907 0.637 2.043
O 4.990 8.977 2.768
O 4.223 1.177 8.515
O 2.258 4.008 0.465
O 0.298 3.961 3.703
O 2.258 6.733 1.109
O 8.151 5.928 1.573
O 6.800 -0.637 2.043
O 4.990 1.448 1.578
O 6.950 0.690 4.342
O -3.021 4.866 5.282
O 2.867 4.869 4.347
O 1.670 -1.177 8.515
O -2.263 2.409 6.390
O 6.191 3.147 3.233
O 1.057 4.229 6.385
O 2.263 -1.595 5.920
O -4.832 3.421 6.855
O 3.631 1.595 5.920
O 4.836 4.919 7.580
O 1.061 0.687 5.276
O 4.223 -1.548 9.159
O 7.559 1.551 0.470
O -0.903 6.243 4.347
O -4.227 7.965 3.233
O 8.156 -2.409 6.390
O 4.832 -0.687 5.276
O 5.599 5.184 1.573
Ca -0.982 0.695 6.015
Ca -2.947 6.251 3.609
Ca -3.929 2.778 4.812
Ca -0.982 2.778 2.406
Ca -1.964 -2.778 4.812
Ca 6.875 -0.695 6.015
Ca 2.947 8.334 2.406
Ca 4.911 -3.473 8.420
Ca 3.929 -2.778 4.812
Ca 3.929 5.556 0.000
Ca 0.982 -2.778 7.218
Ca 5.893 0.000 0.000
Ca 1.964 2.778 4.812
Ca 4.911 4.862 3.609
Ca 2.947 2.084 1.203
Ca -1.964 5.556 0.000
Ca 4.911 2.778 7.218
Ca 0.982 3.473 8.420
Ca 0.000 0.000 0.000
Ca -0.982 9.029 1.203
Pu -2.947 -2.084 8.420
Pu 8.840 0.000 2.406
Pu -4.911 5.556 7.218
Pu 0.982 5.556 2.406
Pu 6.875 3.473 1.203
Pu -0.982 4.862 6.015
Pu 0.982 -0.695 3.609
Pu -2.947 2.084 8.420
Pu 2.947 0.000 7.218
Pu 4.911 0.695 3.609
Pu 2.947 6.251 6.015
Pu 6.875 7.640 1.203
```

SG: Ia-3d
Formation energy (no corrections): -2.610 eV/atom

***

Record 3
This record from the Alexandria database describes crystalline CaPuO at its relaxed geometry. The functional is PBE.

extended XYZ file:
```
6
Lattice="-0.755 -0.187 -3.026 5.654 -4.302 -1.146 -5.984 -2.719 3.275" Properties=species:S:1:pos:R:3 pbc="T T T"
Ca 0.724 -4.667 -1.505
Ca -1.810 -2.541 0.609
Pu 1.210 -1.301 -1.835
Pu 3.689 -3.187 -2.337
O -3.152 -3.989 -0.580
O 2.066 -3.219 -0.317
```

SG: Immm
Formation energy (no corrections): -1.316 eV/atom

***

Record 4
This record from the Alexandria database describes crystalline CaPu2O7 at its relaxed geometry. The functional is PBE.

extended XYZ file:
```
10
Lattice="-0.672 -2.511 -2.827 0.850 -3.713 0.488 -9.173 -3.710 2.868" Properties=species:S:1:pos:R:3 pbc="T T T"
O -2.250 -4.569 -0.623
O -6.744 -5.365 1.152
O -5.465 -3.053 1.403
O -3.529 -6.881 -0.874
O -1.450 -2.342 -0.183
O -7.545 -7.592 0.712
O 0.000 0.000 0.000
Pu -1.700 -6.557 -1.597
Pu -7.295 -3.377 2.126
Ca -4.497 -4.967 0.264
```

SG: R-3m
Formation energy (no corrections): -2.567 eV/atom

***

Record 5
This record from the Alexandria database describes crystalline Ca3PuO7 at its relaxed geometry. The functional is PBE.

extended XYZ file:
```
11
Lattice="4.975 0.129 2.380 -1.018 4.872 2.380 -0.298 -0.376 6.202" Properties=species:S:1:pos:R:3 pbc="T T T"
O 3.140 3.969 9.015
O 3.227 0.310 3.024
O 0.624 0.789 1.738
O 1.763 2.228 6.029
O 4.230 1.587 7.641
O -0.440 3.211 3.024
O 0.572 4.482 7.641
Ca 1.756 2.219 8.248
Ca 0.230 3.681 5.360
Ca 3.529 1.070 5.360
Pu -0.211 -0.266 6.077
```

SG: Cm
Formation energy (no corrections): -2.588 eV/atom

***

Record 6
This record from the Alexandria database describes crystalline CaPu6O12 at its relaxed geometry. The functional is PBE.

extended XYZ file:
```
19
Lattice="-1.178 -6.329 -1.634 1.949 2.393 -5.881 5.880 -0.636 3.023" Properties=species:S:1:pos:R:3 pbc="T T T"
Ca 0.000 0.000 0.000
O 0.668 -4.376 -5.241
O 5.984 -0.197 0.749
O 1.777 0.085 -5.765
O 3.266 -2.707 0.007
O 4.874 -4.657 1.273
O 0.970 -5.890 -0.880
O 5.444 -1.808 -1.510
O 3.494 -0.005 -2.406
O 1.207 -2.765 -2.982
O 5.682 1.317 -3.612
O 3.386 -1.865 -4.500
O 3.158 -4.568 -2.087
Pu 1.278 -3.643 -0.880
Pu 3.922 -0.529 -0.135
Pu 2.730 -4.044 -4.357
Pu 5.373 -0.929 -3.613
Pu 5.044 -4.064 -0.910
Pu 1.608 -0.508 -3.583
```

SG: R-3
Formation energy (no corrections): -3.082 eV/atom